{
  "formula": "YThBi2",
  "functional": "PBE-GGA",
  "state": "relaxed",
  "e_above_lowest_polymorph_ev_per_atom": 0.1691,
  "e_form_ev_per_atom": -0.56,
  "total_energy_ev_per_atom": -5.97,
  "total_magnetization_mub_per_cell": 0.00,
  "lattice_angstrom": [[5.544, 0.000, 0.000], [2.772, 4.801, 0.000], [2.772, 1.600, 4.527]],
  "species": ["Bi", "Bi", "Th", "Y"],
  "frac_coords": [[0.250, 0.250, 0.250], [0.750, 0.750, 0.750], [0.500, 0.500, 0.500], [0.000, 0.000, 0.000]]
}